A geometry-optimized Hf3HgSe structure. Source: the Alexandria database, functional GGA-PBE.

The calculation puts the uncorrected formation energy at 0.9 eV per formula unit. Its electronic total energy is -6.547 eV per atom.

abc: 4.9144 4.9144 4.9144
angles: 90.00 90.00 90.00
Space group Pm-3m (No. 221)
Inequivalent atoms, fractional coordinates:
1 Hf 0.0000 0.0000 0.5000 [3 per cell]
2 Hg 0.5000 0.5000 0.5000 [1 per cell]
3 Se 0.0000 0.0000 0.0000 [1 per cell]